(1)
Computed, not measured: a geometry-optimized NdGaGe2 structure at the PBE-GGA level of DFT.

a = 4.442 Å, b = 4.377 Å, c = 4.377 Å
α = 90.00°, β = 90.00°, γ = 90.00°
Positions (direct):
1 Ge 0.000 0.000 0.500
2 Ge 0.000 0.500 0.000
3 Nd 0.500 0.000 0.000
4 Ga 0.500 0.500 0.500

Properties
Energy (eV per formula unit): -18.87
Formation energy (eV/atom): -0.46
Spin magnetization (μB/f.u.): 0.00
Relative energy among the computed polymorphs (meV/atom): 0



(2)
Computed, not measured: a geometry-optimized Sc5Cd4Ir structure at the PBE-GGA level of DFT.

a = 3.389 Å, b = 3.389 Å, c = 18.307 Å
α = 90.00°, β = 90.00°, γ = 90.00°
Each line ends with the local moment (μB).
Positions (direct):
1 Sc 0.500 0.500 0.082  0.00
2 Sc 0.500 0.500 0.292  0.07
3 Sc 0.500 0.500 0.500  0.06
4 Sc 0.500 0.500 0.708  0.07
5 Sc 0.500 0.500 0.918  0.00
6 Cd 0.000 0.000 0.189  0.00
7 Cd 0.000 0.000 0.397  0.00
8 Cd 0.000 0.000 0.603  0.00
9 Cd 0.000 0.000 0.811  0.00
10 Ir 0.000 0.000 0.000  0.00

Properties
Energy (eV per formula unit): -48.56
Formation energy (eV/atom): -0.44
Spin magnetization (μB/f.u.): 0.31



(3)
Computed, not measured: a geometry-optimized LaGa2Pt6 structure at the PBE-GGA level of DFT.

a = 8.062 Å, b = 8.062 Å, c = 8.062 Å
α = 60.00°, β = 60.00°, γ = 60.00°
Positions (direct):
1 La 0.500 0.500 0.500
2 La 0.750 0.750 0.750
3 Ga 0.125 0.125 0.125
4 Ga 0.125 0.625 0.125
5 Ga 0.125 0.125 0.625
6 Ga 0.625 0.125 0.125
7 Pt 0.250 0.250 0.750
8 Pt 0.750 0.750 0.250
9 Pt 0.250 0.750 0.250
10 Pt 0.250 0.750 0.750
11 Pt 0.500 0.500 0.000
12 Pt 0.500 0.000 0.000
13 Pt 0.750 0.250 0.750
14 Pt 0.000 0.000 0.500
15 Pt 0.500 0.000 0.500
16 Pt 0.000 0.500 0.500
17 Pt 0.750 0.250 0.250
18 Pt 0.000 0.500 0.000

Properties
Energy (eV per formula unit): -51.46
Formation energy (eV/atom): -0.47
Spin magnetization (μB/f.u.): 0.00



(4)
Computed, not measured: a geometry-optimized Na4DyPu3Te8 structure at the PBE-GGA level of DFT.

a = 8.965 Å, b = 9.108 Å, c = 8.965 Å
α = 119.50°, β = 120.00°, γ = 90.00°
Each line ends with the local moment (μB).
Positions (direct):
1 Na 0.500 0.000 0.000  0.00
2 Na 0.500 0.000 0.500  0.00
3 Na 0.000 0.000 0.000  0.00
4 Na 0.000 0.000 0.500  0.00
5 Dy 0.000 0.500 0.000  0.03
6 Pu 0.500 0.500 0.000  5.20
7 Pu 0.500 0.500 0.500  5.20
8 Pu 0.000 0.500 0.500  5.20
9 Te 0.243 0.734 0.991  -0.08
10 Te 0.243 0.734 0.486  -0.08
11 Te 0.256 0.267 0.511  -0.11
12 Te 0.748 0.734 0.991  -0.08
13 Te 0.252 0.266 0.009  -0.08
14 Te 0.744 0.733 0.489  -0.11
15 Te 0.757 0.266 0.514  -0.08
16 Te 0.757 0.266 0.009  -0.08

Properties
Energy (eV per formula unit): -95.61
Spin magnetization (μB/f.u.): 15.00
Uncorrected formation energy (eV/atom): -1.1002